Material: SrYHg2
Method: DFT, GGA-PBE
State: optimized geometry

Properties
As for the energy of formation: -0.433 eV per atom. For the total magnetization, the calculation gives 0.000 μB per formula unit. The uncorrected energy is -2.620 eV/atom. Its space-group type is No. 38.

a = 5.066 Å, b = 6.269 Å, c = 6.269 Å
α = 36.51°, β = 90.00°, γ = 90.00°
Atoms (fractional coordinates):
Sr 0.000 0.000 0.000
Y 0.500 0.719 0.719
Hg 0.000 0.267 0.267
Hg 0.500 0.440 0.440